--- A ---
Computed, not measured: a relaxed NaB2Pt3 crystal at the PBE-GGA level of DFT.

Lattice parameters (Å, degrees): 3.1436 5.5392 5.5391 120.00 90.00 90.00
Fractional positions:
Na: 0.0000 0.0015 0.0015
B: 0.0000 0.6677 0.3343
B: 0.0000 0.3344 0.6677
Pt: 0.5000 0.5013 0.0013
Pt: 0.5000 0.0013 0.5013
Pt: 0.5000 0.5014 0.5014

---

--- B ---
Computed, not measured: a relaxed NaB2Pt3 crystal at the PBE-GGA level of DFT.

Lattice parameters (Å, degrees): 5.5123 6.0403 6.0403 119.87 90.00 90.00
Fractional positions:
Na: 0.2500 0.5001 0.5001
Na: 0.7500 0.4999 0.4999
B: 0.5000 0.8331 0.1669
B: 0.0000 0.8331 0.1669
B: 0.0000 0.1669 0.8331
B: 0.5000 0.1669 0.8331
Pt: 0.7500 0.5000 0.0000
Pt: 0.7500 0.0000 0.5000
Pt: 0.2500 0.5000 0.0000
Pt: 0.7500 0.0000 0.0000
Pt: 0.2500 0.0000 0.0000
Pt: 0.2500 0.0000 0.5000

---

Least stable structure: B

---

--- A ---
Computed, not measured: a relaxed NaB2Pt2 crystal at the PBE-GGA level of DFT.

Lattice parameters (Å, degrees): 3.6423 3.6423 5.9155 72.07 72.07 90.00
Fractional positions:
Na: 0.0000 0.0000 0.0000
B: 0.7500 0.2500 0.5000
B: 0.2500 0.7500 0.5000
Pt: 0.3562 0.3562 0.2876
Pt: 0.6438 0.6438 0.7124

---

--- B ---
Computed, not measured: a relaxed NaB2Pt2 crystal at the PBE-GGA level of DFT.

Lattice parameters (Å, degrees): 5.8994 5.5968 6.1820 75.38 61.38 58.19
Fractional positions:
Na: 0.8749 0.7502 0.2500
Na: 0.1251 0.2498 0.7500
B: 0.5480 0.4040 0.2500
B: 0.7978 0.9045 0.7500
B: 0.2022 0.0955 0.2500
B: 0.4520 0.5960 0.7500
Pt: 0.5092 0.7501 0.9811
Pt: 0.7593 0.2499 0.4811
Pt: 0.4908 0.2499 0.0189
Pt: 0.2407 0.7501 0.5189

---

Least stable structure: A

---

--- A ---
Computed, not measured: a relaxed Na2B2Pt3 crystal at the PBE-GGA level of DFT.

Lattice parameters (Å, degrees): 3.3018 5.3845 6.4954 75.03 75.28 72.15
Fractional positions:
Na: 0.1615 0.4764 0.2007
Na: 0.8385 0.5236 0.7993
B: 0.1213 0.0177 0.7396
B: 0.8787 0.9823 0.2604
Pt: 0.5000 0.0000 0.0000
Pt: 0.3774 0.8024 0.4428
Pt: 0.6226 0.1976 0.5572

---

--- B ---
Computed, not measured: a relaxed Na2B2Pt3 crystal at the PBE-GGA level of DFT.

Lattice parameters (Å, degrees): 3.9856 6.3006 5.7759 116.82 110.18 90.00
Fractional positions:
Na: 0.3643 0.2106 0.7287
Na: 0.6357 0.7894 0.2713
B: 0.1215 0.3720 0.2430
B: 0.8785 0.6280 0.7570
Pt: 0.0000 0.0000 0.0000
Pt: 0.3277 0.6617 0.6553
Pt: 0.6723 0.3383 0.3447

---

Least stable structure: A